1.
This record from Alexandria via LeMat-Bulk describes a relaxed Pr6NdSm8 crystal. The functional is PBE.

Unit cell a=9.453 b=9.453 c=8.746 alpha=57.29 beta=57.29 gamma=60.00
Atoms (fractional coordinates):
1 Pr 0.445 0.893 0.925
2 Pr 0.107 0.262 0.075
3 Pr 0.262 0.555 0.075
4 Pr 0.738 0.445 0.925
5 Pr 0.893 0.738 0.925
6 Pr 0.555 0.107 0.075
7 Nd 0.000 0.000 0.000
8 Sm 0.342 0.229 0.513
9 Sm 0.771 0.084 0.487
10 Sm 0.084 0.658 0.487
11 Sm 0.571 0.571 0.288
12 Sm 0.429 0.429 0.712
13 Sm 0.916 0.342 0.513
14 Sm 0.229 0.916 0.513
15 Sm 0.658 0.771 0.487

## Properties
Formation energy from the elements (kJ/mol of formula units): 210
D(E_F) (states/eV per atom): 1.444
Energy relative to the lowest polymorph listed for this composition (meV per atom): 0.0

2.
This record from Alexandria via LeMat-Bulk describes a relaxed La3Pr6DyEr2 crystal. The functional is PBE.

Unit cell a=6.380 b=6.380 c=12.128 alpha=95.03 beta=95.03 gamma=120.05
Atoms (fractional coordinates):
1 La 0.167 0.833 0.500
2 La 0.833 0.167 0.500
3 La 0.500 0.500 0.500
4 Pr 0.919 0.585 0.757
5 Pr 0.748 0.748 0.243
6 Pr 0.081 0.415 0.243
7 Pr 0.585 0.919 0.757
8 Pr 0.252 0.252 0.757
9 Pr 0.415 0.081 0.243
10 Dy 0.000 0.000 0.000
11 Er 0.333 0.667 0.000
12 Er 0.667 0.333 0.000

## Properties
Formation energy from the elements (kJ/mol of formula units): 22
D(E_F) (states/eV per atom): 1.530

3.
This record from Alexandria via LeMat-Bulk describes a relaxed KNa2In8 crystal. The functional is PBE.

Unit cell a=4.521 b=4.521 c=16.078 alpha=90.00 beta=90.00 gamma=89.96
Atoms (fractional coordinates):
1 K 0.000 0.000 0.000
2 Na 0.000 0.000 0.346
3 Na 0.000 0.000 0.654
4 In 0.000 0.500 0.500
5 In 0.500 0.000 0.500
6 In 0.500 0.500 0.340
7 In 0.500 0.500 0.660
8 In 0.000 0.500 0.188
9 In 0.500 0.000 0.188
10 In 0.000 0.500 0.812
11 In 0.500 0.000 0.812

## Properties
Formation energy from the elements (kJ/mol of formula units): -67
D(E_F) (states/eV per atom): 0.564

4.
This record from Alexandria via LeMat-Bulk describes a relaxed MgTc2B crystal. The functional is PBE.

Unit cell a=4.153 b=4.153 c=4.153 alpha=60.00 beta=60.00 gamma=60.00
Atoms (fractional coordinates):
1 Mg 0.500 0.500 0.500
2 B 0.000 0.000 0.000
3 Tc 0.250 0.250 0.250
4 Tc 0.750 0.750 0.750

## Properties
Formation energy from the elements (kJ/mol of formula units): 258
D(E_F) (states/eV per atom): 1.706
Energy relative to the lowest polymorph listed for this composition (meV per atom): 0.0

5.
This record from Alexandria via LeMat-Bulk describes a relaxed Ce2AlSbPd6 crystal. The functional is PBE.

Unit cell a=6.544 b=6.664 c=6.659 alpha=48.85 beta=85.99 gamma=106.18
Atoms (fractional coordinates):
1 Ce 0.248 0.747 0.499
2 Ce 0.752 0.253 0.501
3 Al 0.500 0.500 0.000
4 Sb 0.000 0.000 0.000
5 Pd 0.325 0.809 0.985
6 Pd 0.926 0.742 0.817
7 Pd 0.325 0.310 0.484
8 Pd 0.675 0.191 0.015
9 Pd 0.074 0.258 0.183
10 Pd 0.675 0.690 0.516

## Properties
D(E_F) (states/eV per atom): 1.377
Formation energy (no corrections) (eV/atom): -0.678

6.
This record from Alexandria via LeMat-Bulk describes a relaxed NaRuSe2Br crystal. The functional is PBE.

Unit cell a=5.114 b=5.114 c=5.199 alpha=90.00 beta=90.00 gamma=90.00
Atoms (fractional coordinates):
1 Ru 0.500 0.500 0.500
2 Se 0.000 0.500 0.000
3 Se 0.500 0.000 0.000
4 Br 0.000 0.000 0.500
5 Na 0.000 0.000 0.000

## Properties
D(E_F) (states/eV per atom): 1.724
Formation energy (no corrections) (eV/atom): 1.065
Energy relative to the lowest polymorph listed for this composition (meV per atom): 1267.0